VASP calculation (PBE with a Hubbard U) on a relaxed structure of Fe3O4F2.

Computed properties:
VASP energy (hartree per atom): -0.220
Energy above the most stable polymorph in this dataset (meV per atom): 119
V (Å³/cell): 197

a = 5.5556 Å, b = 4.6513 Å, c = 7.6582 Å
α = 90.00°, β = 94.60°, γ = 90.00°
Last column: nearest neighbours and their distance in Å.
Space group P2_1 (No. 4)
One atom of each set of equivalent atoms:
Fe: 0.0710 0.0000 0.3412 x2  4 O 1.93-2.03, 2 F 2.11-2.15
Fe: 0.2649 0.4544 0.0008 x2  4 O 1.91-1.94, 2 F 2.01-2.09
Fe: 0.4029 0.9578 0.6834 x2  4 O 1.92-1.96, 1 F 2.05
O: 0.1219 0.1633 0.5739 x2  3 Fe 1.94-2.03
O: 0.2164 0.6545 0.7819 x2  3 Fe 1.92-1.94
O: 0.2896 0.2791 0.2313 x2  3 Fe 1.94-2.01
O: 0.4610 0.1618 0.9006 x2  3 Fe 1.91-1.94
F: 0.0427 0.7676 0.0980 x2  3 Fe 2.01-2.15
F: 0.3815 0.7722 0.4394 x2  3 Fe 2.05-2.15